# 1
VASP calculation (PBE) on TlZn2Ru after structural relaxation.

Output
ΔE to the lowest computed polymorph ... 0.0742 eV/atom
Total moment ... 0.0 μB/cell
SG ... P4/mmm
Formation enthalpy at 0 K ... 0.259 eV/atom
Final energy ... -3.29 eV per atom

Lattice parameters (Å, degrees): 4.032 4.034 4.020 90.00 90.00 90.00
Positions (direct):
1 Ru 0.500 0.000 0.500
2 Tl 0.000 0.500 0.500
3 Zn 0.000 0.000 0.000
4 Zn 0.500 0.500 0.000


# 2
VASP calculation (PBE) on K2NaGa2 after structural relaxation.

Output
ΔE to the lowest computed polymorph ... 0.1006 eV/atom
Total moment ... 0.0 μB/cell
SG ... I4/mmm
Formation enthalpy at 0 K ... 0.160 eV/atom
Final energy ... -1.75 eV per atom

Lattice parameters (Å, degrees): 5.224 5.224 8.032 71.02 71.02 90.00
Positions (direct):
1 Na 0.000 0.000 0.000
2 K 0.750 0.250 0.500
3 K 0.250 0.750 0.500
4 Ga 0.415 0.415 0.170
5 Ga 0.585 0.585 0.830


# 3
VASP calculation (PBE) on ZnAgHg2I after structural relaxation.

Output
Total moment ... 0.0 μB/cell
SG ... P4/mmm
Uncorrected formation energy ... 146 meV/atom
Final energy ... -1.11 eV per atom

Lattice parameters (Å, degrees): 5.725 5.599 5.725 90.00 90.00 90.00
Positions (direct):
1 I 0.000 0.500 0.000
2 Zn 0.500 0.500 0.500
3 Hg 0.000 0.000 0.500
4 Hg 0.500 0.000 0.000
5 Ag 0.000 0.000 0.000


# 4
VASP calculation (PBE) on CsNi2Ir after structural relaxation.

Output
Total moment ... 0.0 μB/cell
SG ... I-42d
Formation enthalpy at 0 K ... 0.963 eV/atom
Final energy ... -4.36 eV per atom

Lattice parameters (Å, degrees): 6.766 6.766 7.422 62.88 62.88 90.00
Positions (direct):
1 Cs 0.500 0.500 0.000
2 Cs 0.250 0.750 0.500
3 Ni 0.802 0.125 0.250
4 Ni 0.948 0.625 0.250
5 Ni 0.375 0.198 0.750
6 Ni 0.875 0.052 0.750
7 Ir 0.000 0.000 0.000
8 Ir 0.750 0.250 0.500